P.
# Zr4Ru5 PBE relaxed
# total magnetic moment	0.0	μB/f.u.
data_Zr4Ru5
_chemical_formula_sum 'Zr8 Ru10'
_space_group_name_H-M_alt 'I 4/m m m'
_space_group_IT_number 139
_space_group_name_Hall '-I 4 2'
_cell_length_a 8.937
_cell_length_b 8.937
_cell_length_c 4.043
_cell_angle_alpha 90.00
_cell_angle_beta 90.00
_cell_angle_gamma 90.00
loop_
_atom_site_label
_atom_site_type_symbol
_atom_site_fract_x
_atom_site_fract_y
_atom_site_fract_z
Zr1 Zr 0.000 0.290 0.000
Ru1 Ru 0.000 0.000 0.000
Ru2 Ru 0.162 0.162 0.500

---

Q.
# Zr4Ru5 PBE relaxed
# total magnetic moment	0.0	μB/f.u.
data_Zr4Ru5
_chemical_formula_sum 'Zr8 Ru10'
_space_group_name_H-M_alt 'P 63/m c m'
_space_group_IT_number 193
_space_group_name_Hall '-P 6c 2'
_cell_length_a 8.0092
_cell_length_b 8.0092
_cell_length_c 5.6324
_cell_angle_alpha 90.00
_cell_angle_beta 90.00
_cell_angle_gamma 120.00
loop_
_atom_site_label
_atom_site_type_symbol
_atom_site_fract_x
_atom_site_fract_y
_atom_site_fract_z
Zr1 Zr 0.0000 0.0000 0.0000
Zr2 Zr 0.0000 0.3748 0.2500
Ru1 Ru 0.0000 0.3039 0.7500
Ru2 Ru 0.3333 0.6667 0.0000

---

Stability summary - winner: P; margin: 1.0 kJ/mol of atoms.

---

P.
# Zr2Ru3 PBE relaxed
# total magnetic moment	0.0	μB/f.u.
data_Zr2Ru3
_chemical_formula_sum 'Zr6 Ru9'
_space_group_name_H-M_alt 'R -3 m'
_space_group_IT_number 166
_space_group_name_Hall '-R 3 2"'
_cell_length_a 3.1360
_cell_length_b 3.1360
_cell_length_c 30.8988
_cell_angle_alpha 90.00
_cell_angle_beta 90.00
_cell_angle_gamma 120.00
loop_
_atom_site_label
_atom_site_type_symbol
_atom_site_fract_x
_atom_site_fract_y
_atom_site_fract_z
Zr1 Zr 0.0000 0.0000 0.0990
Ru1 Ru 0.0000 0.0000 0.2997
Ru2 Ru 0.0000 0.0000 0.5000

---

Q.
# Zr2Ru3 PBE relaxed
# total magnetic moment	0.0	μB/f.u.
data_Zr2Ru3
_chemical_formula_sum 'Zr2 Ru3'
_space_group_name_H-M_alt 'P -3 m 1'
_space_group_IT_number 164
_space_group_name_Hall '-P 3 2"'
_cell_length_a 4.4421
_cell_length_b 4.4421
_cell_length_c 5.4954
_cell_angle_alpha 90.00
_cell_angle_beta 90.00
_cell_angle_gamma 120.00
loop_
_atom_site_label
_atom_site_type_symbol
_atom_site_fract_x
_atom_site_fract_y
_atom_site_fract_z
Zr1 Zr 0.3333 0.6667 0.3073
Ru1 Ru 0.0000 0.0000 0.5000
Ru2 Ru 0.3333 0.6667 0.8231

---

R.
# Zr2Ru3 PBE relaxed
# total magnetic moment	0.0	μB/f.u.
data_Zr2Ru3
_chemical_formula_sum 'Zr16 Ru24'
_space_group_name_H-M_alt 'F d d 2'
_space_group_IT_number 43
_space_group_name_Hall 'F 2 -2d'
_cell_length_a 9.349
_cell_length_b 13.401
_cell_length_c 5.619
_cell_angle_alpha 90.00
_cell_angle_beta 90.00
_cell_angle_gamma 90.00
loop_
_atom_site_label
_atom_site_type_symbol
_atom_site_fract_x
_atom_site_fract_y
_atom_site_fract_z
Zr1 Zr 0.077 0.202 0.000
Ru1 Ru 0.000 0.000 0.155
Ru2 Ru 0.063 0.117 0.499

---

Stability summary - winner: R; margin: 31.3 kJ/mol of atoms.

---

P.
# Zr3Ru4 PBE relaxed
# total magnetic moment	0.0	μB/f.u.
data_Zr3Ru4
_chemical_formula_sum 'Zr3 Ru4'
_space_group_name_H-M_alt 'P 6/m m m'
_space_group_IT_number 191
_space_group_name_Hall '-P 6 2'
_cell_length_a 5.6727
_cell_length_b 5.6727
_cell_length_c 4.6426
_cell_angle_alpha 90.00
_cell_angle_beta 90.00
_cell_angle_gamma 120.00
loop_
_atom_site_label
_atom_site_type_symbol
_atom_site_fract_x
_atom_site_fract_y
_atom_site_fract_z
Zr1 Zr 0.0000 0.5000 0.0000
Ru1 Ru 0.0000 0.0000 0.2518
Ru2 Ru 0.3333 0.6667 0.5000

---

Q.
# Zr3Ru4 PBE relaxed
# total magnetic moment	0.0	μB/f.u.
data_Zr3Ru4
_chemical_formula_sum 'Zr6 Ru8'
_space_group_name_H-M_alt 'I 4/m m m'
_space_group_IT_number 139
_space_group_name_Hall '-I 4 2'
_cell_length_a 3.269
_cell_length_b 3.269
_cell_length_c 22.678
_cell_angle_alpha 90.00
_cell_angle_beta 90.00
_cell_angle_gamma 90.00
loop_
_atom_site_label
_atom_site_type_symbol
_atom_site_fract_x
_atom_site_fract_y
_atom_site_fract_z
Zr1 Zr 0.000 0.000 0.000
Zr2 Zr 0.000 0.000 0.294
Ru1 Ru 0.000 0.000 0.142
Ru2 Ru 0.000 0.000 0.433

---

Stability summary - winner: Q; margin: 45.0 kJ/mol of atoms.

---

P.
# Zr5Ru4 PBE relaxed
# total magnetic moment	0.0	μB/f.u.
data_Zr5Ru4
_chemical_formula_sum 'Zr10 Ru8'
_space_group_name_H-M_alt 'I 4/m m m'
_space_group_IT_number 139
_space_group_name_Hall '-I 4 2'
_cell_length_a 8.329
_cell_length_b 8.329
_cell_length_c 4.792
_cell_angle_alpha 90.00
_cell_angle_beta 90.00
_cell_angle_gamma 90.00
loop_
_atom_site_label
_atom_site_type_symbol
_atom_site_fract_x
_atom_site_fract_y
_atom_site_fract_z
Zr1 Zr 0.000 0.000 0.000
Zr2 Zr 0.180 0.180 0.500
Ru1 Ru 0.000 0.347 0.000

---

Q.
# Zr5Ru4 PBE relaxed
# total magnetic moment	0.0	μB/f.u.
data_Zr5Ru4
_chemical_formula_sum 'Zr10 Ru8'
_space_group_name_H-M_alt 'P 63/m c m'
_space_group_IT_number 193
_space_group_name_Hall '-P 6c 2'
_cell_length_a 8.1527
_cell_length_b 8.1527
_cell_length_c 5.8218
_cell_angle_alpha 90.00
_cell_angle_beta 90.00
_cell_angle_gamma 120.00
loop_
_atom_site_label
_atom_site_type_symbol
_atom_site_fract_x
_atom_site_fract_y
_atom_site_fract_z
Zr1 Zr 0.0000 0.2772 0.2500
Zr2 Zr 0.3333 0.6667 0.0000
Ru1 Ru 0.0000 0.0000 0.0000
Ru2 Ru 0.0000 0.3854 0.7500

---

Stability summary - winner: Q; margin: 20.4 kJ/mol of atoms.